Here is SrBeSb after structural relaxation from Alexandria. Energies are from GGA-PBE.

a b c (Å): 7.1420 7.1420 7.1420
angles (deg): 90.00 90.00 90.00
Last column: nearest neighbours and their distance in Å.
Space group F-43m (No. 216)
One atom of each set of equivalent atoms:
Sr (0.0000, 0.0000, 0.0000)  4 Sb 3.09
Be (0.0000, 0.0000, 0.5000)  4 Sb 3.09
Sb (0.2500, 0.2500, 0.2500)  4 Be 3.09, 4 Sr 3.09

Computed properties:
Energy relative to the elements, uncorrected: 63 kJ/mol of formula units
Relative energy among the computed polymorphs: 690 meV per atom

---

Here is Pr5HoTl4 after structural relaxation from Alexandria. Energies are from GGA-PBE.

a b c (Å): 8.5115 9.3597 8.8296
angles (deg): 90.00 90.00 90.00
Last column: nearest neighbours and their distance in Å.
Space group Pmmn (No. 59, origin choice 2)
One atom of each set of equivalent atoms:
Pr (0.0091, 0.0569, 0.2340)  4 Tl 3.24-3.37, 2 Pr 3.57-3.61
Pr (0.2500, 0.7500, 0.1703)  4 Tl 2.99-3.29
Ho (0.2500, 0.2500, 0.5859)  4 Tl 3.21-3.39
Tl (0.0840, 0.2500, 0.9346)  1 Tl 2.83, 1 Pr 2.99
Tl (0.2500, 0.5831, 0.4988)  1 Tl 3.12, 1 Ho 3.21, 5 Pr 3.24-3.37

Computed properties:
DFT formation energy: -0.04 eV per atom
Relative energy among the computed polymorphs: 251 meV per atom

---

Here is BeCu2Au3 after structural relaxation from Alexandria. Energies are from GGA-PBE.

a b c (Å): 4.2425 12.7505 6.4184
angles (deg): 90.00 90.00 90.00
Last column: nearest neighbours and their distance in Å.
Space group Cmmm (No. 65)
One atom of each set of equivalent atoms:
Be (0.0000, 0.1607, 0.0000)  8 Au 2.57-2.59
Cu (0.0000, 0.1663, 0.5000)  8 Au 2.69-2.75, 4 Cu 3.00-3.01
Cu (0.0000, 0.5000, 0.0000)  8 Au 2.63-2.64
Cu (0.0000, 0.5000, 0.5000)  8 Au 2.69-2.80, 4 Cu 3.00
Au (0.0000, 0.0000, 0.2412)  2 Be 2.57, 6 Cu 2.63-2.69
Au (0.0000, 0.3275, 0.2288)  3 Be 2.58-2.59, 5 Cu 2.64-2.80

Computed properties:
DFT formation energy: -0.06 eV per atom

---

Here is ZrMo2C after structural relaxation from Alexandria. Energies are from GGA-PBE.

a b c (Å): 4.6762 8.4304 3.0702
angles (deg): 90.00 90.00 90.00
Last column: nearest neighbours and their distance in Å.
Space group Cmmm (No. 65)
One atom of each set of equivalent atoms:
Zr (0.0000, 0.0000, 0.0000)  2 C 2.34
Mo (0.0000, 0.3269, 0.5000)  2 C 2.12
C (0.0000, 0.5000, 0.0000)  4 Mo 2.12, 2 Zr 2.34

Computed properties:
DFT formation energy: -0.19 eV per atom

---

Here is BaAg3Pb after structural relaxation from Alexandria. Energies are from GGA-PBE.

a b c (Å): 5.0457 5.2357 6.3520
angles (deg): 66.13 66.63 89.79
Last column: nearest neighbours and their distance in Å.
Space group P1 (No. 1)
One atom of each set of equivalent atoms:
Ba (0.0000, 0.0000, 0.0000)  9 Ag 3.43-3.78, 2 Pb 3.72-3.74
Ag (0.2534, 0.8338, 0.4927)  2 Ag 2.81-2.87, 2 Pb 2.91
Ag (0.3560, 0.4303, 0.2834)  4 Ag 2.81-2.87, 1 Pb 2.93
Ag (0.7496, 0.1956, 0.4980)  4 Ag 2.84-3.16, 2 Pb 2.88-2.91
Pb (0.6327, 0.5824, 0.7354)  5 Ag 2.88-2.93

Computed properties:
DFT formation energy: -0.18 eV per atom
Relative energy among the computed polymorphs: 0 meV per atom

---

Here is BeMoAs after structural relaxation from Alexandria. Energies are from GGA-PBE.

a b c (Å): 3.1465 3.1465 8.0668
angles (deg): 90.00 90.00 90.00
Last column: nearest neighbours and their distance in Å.
Space group I4mm (No. 107)
One atom of each set of equivalent atoms:
Be (0.0000, 0.0000, 0.0000)  5 As 2.58-2.73, 5 Mo 2.61-2.67
Mo (0.0000, 0.0000, 0.6688)  5 Be 2.61-2.67, 5 As 2.61-2.66
As (0.0000, 0.0000, 0.3390)  5 Be 2.58-2.73, 5 Mo 2.61-2.66

Computed properties:
DFT formation energy: -0.08 eV per atom
Relative energy among the computed polymorphs: 0 meV per atom

---

What is the formula in the first record? SrBeSb